[1]
VASP calculation (GGA-PBE) on a geometry-optimized La4Y3ScTe8 structure.

The calculation puts the uncorrected formation energy at -1.4228 eV/atom. The calculated total energy is -5.833 eV/atom.

Cell lengths 8.951, 8.951, 8.951 Å; angles 59.26, 59.26, 59.26 degrees
Sites, in units of the cell vectors:
La 0.000 0.000 0.000
La 0.000 0.500 0.500
La 0.500 0.000 0.500
La 0.500 0.500 0.000
Y 0.000 0.000 0.500
Y 0.000 0.500 0.000
Y 0.500 0.000 0.000
Sc 0.500 0.500 0.500
Te 0.245 0.245 0.245
Te 0.250 0.739 0.739
Te 0.261 0.261 0.750
Te 0.261 0.750 0.261
Te 0.739 0.250 0.739
Te 0.739 0.739 0.250
Te 0.750 0.261 0.261
Te 0.755 0.755 0.755


[2]
VASP calculation (GGA-PBE) on a geometry-optimized La2YScTe4 structure.

The calculation puts the uncorrected formation energy at -1.3934 eV/atom. The calculated total energy is -5.796 eV/atom.

Cell lengths 7.615, 4.365, 7.788 Å; angles 90.00, 108.78, 90.00 degrees
Sites, in units of the cell vectors:
La 0.000 0.000 0.000
La 0.500 0.500 0.000
Y 0.000 0.500 0.500
Sc 0.500 0.000 0.500
Te 0.250 0.000 0.729
Te 0.266 0.500 0.276
Te 0.734 0.500 0.724
Te 0.750 0.000 0.271


Q: Which formula does entry 1 have?
A: La4Y3ScTe8


Q: The lowest calculated total energy belongs to which entry?
A: La4Y3ScTe8


Q: Look up the calculated total energy of the first one.
A: -5.833 eV/atom